1.
A geometry-optimized Mg4ZnHg7 structure. Source: Alexandria, functional GGA-PBE.

```
data_Mg4ZnHg7
_symmetry_space_group_name_H-M 'P 1'
_symmetry_Int_Tables_number 1
_cell_length_a 6.1631
_cell_length_b 10.8008
_cell_length_c 8.4356
_cell_angle_alpha 56.24
_cell_angle_beta 56.03
_cell_angle_gamma 35.75
loop_
_symmetry_equiv_pos_as_xyz
'x,y,z'
loop_
_atom_site_label
_atom_site_type_symbol
_atom_site_fract_x
_atom_site_fract_y
_atom_site_fract_z
Hg1 Hg 0.7295 0.5208 0.9924
Hg2 Hg 0.5000 0.0000 0.0000
Hg3 Hg 0.2705 0.4792 0.0076
Hg4 Hg 0.0318 0.6864 0.3530
Hg5 Hg 0.7488 0.1532 0.3329
Hg6 Hg 0.9682 0.3136 0.6470
Hg7 Hg 0.2512 0.8468 0.6671
Mg1 Mg 0.2579 0.1574 0.3105
Mg2 Mg 0.5458 0.6758 0.3312
Mg3 Mg 0.7421 0.8426 0.6895
Mg4 Mg 0.4542 0.3242 0.6688
Zn1 Zn 0.0000 0.0000 0.0000
```

Properties
ΔE_f, eV/atom: -0.1006


2.
A geometry-optimized Mg2Zn2Hg structure. Source: Alexandria, functional GGA-PBE.

```
data_Mg2Zn2Hg
_symmetry_space_group_name_H-M 'P 1'
_symmetry_Int_Tables_number 1
_cell_length_a 4.1969
_cell_length_b 4.1969
_cell_length_c 6.8250
_cell_angle_alpha 72.09
_cell_angle_beta 72.09
_cell_angle_gamma 90.00
loop_
_symmetry_equiv_pos_as_xyz
'x,y,z'
loop_
_atom_site_label
_atom_site_type_symbol
_atom_site_fract_x
_atom_site_fract_y
_atom_site_fract_z
Hg1 Hg 0.0000 0.0000 0.0000
Mg1 Mg 0.7500 0.2500 0.5000
Mg2 Mg 0.2500 0.7500 0.5000
Zn1 Zn 0.4013 0.4013 0.1974
Zn2 Zn 0.5987 0.5987 0.8026
```

Properties
ΔE_f, eV/atom: 0.1172


3.
A geometry-optimized Mg2ZnHg structure. Source: Alexandria, functional GGA-PBE.

```
data_Mg2ZnHg
_symmetry_space_group_name_H-M 'P 1'
_symmetry_Int_Tables_number 1
_cell_length_a 3.3218
_cell_length_b 4.4908
_cell_length_c 5.6661
_cell_angle_alpha 90.00
_cell_angle_beta 107.32
_cell_angle_gamma 90.00
loop_
_symmetry_equiv_pos_as_xyz
'x,y,z'
loop_
_atom_site_label
_atom_site_type_symbol
_atom_site_fract_x
_atom_site_fract_y
_atom_site_fract_z
Mg1 Mg 0.4428 0.0000 0.8649
Mg2 Mg 0.1175 0.5000 0.2181
Zn1 Zn 0.7023 0.0000 0.3799
Hg1 Hg 0.8524 0.5000 0.6871
```

Properties
ΔE_f, eV/atom: -0.1289


4.
A geometry-optimized Mg2ZnHg structure. Source: Alexandria, functional GGA-PBE.

```
data_Mg2ZnHg
_symmetry_space_group_name_H-M 'P 1'
_symmetry_Int_Tables_number 1
_cell_length_a 5.2213
_cell_length_b 5.7751
_cell_length_c 5.6909
_cell_angle_alpha 106.41
_cell_angle_beta 94.50
_cell_angle_gamma 98.05
loop_
_symmetry_equiv_pos_as_xyz
'x,y,z'
loop_
_atom_site_label
_atom_site_type_symbol
_atom_site_fract_x
_atom_site_fract_y
_atom_site_fract_z
Mg1 Mg 0.2460 0.5464 0.8523
Mg2 Mg 0.1661 0.1226 0.3020
Mg3 Mg 0.7540 0.4536 0.1477
Mg4 Mg 0.8339 0.8774 0.6980
Zn1 Zn 0.3613 0.0596 0.8313
Zn2 Zn 0.6387 0.9404 0.1687
Hg1 Hg 0.7063 0.3389 0.6131
Hg2 Hg 0.2937 0.6611 0.3869
```

Properties
ΔE_f, eV/atom: -0.1391


5.
A geometry-optimized MgZnHg2 structure. Source: Alexandria, functional GGA-PBE.

```
data_MgZnHg2
_symmetry_space_group_name_H-M 'P 1'
_symmetry_Int_Tables_number 1
_cell_length_a 5.4333
_cell_length_b 5.4333
_cell_length_c 5.4333
_cell_angle_alpha 133.27
_cell_angle_beta 133.27
_cell_angle_gamma 68.23
loop_
_symmetry_equiv_pos_as_xyz
'x,y,z'
loop_
_atom_site_label
_atom_site_type_symbol
_atom_site_fract_x
_atom_site_fract_y
_atom_site_fract_z
Hg1 Hg 0.0000 0.0000 0.0000
Hg2 Hg 0.2500 0.7500 0.5000
Mg1 Mg 0.5000 0.5000 0.0000
Zn1 Zn 0.7500 0.2500 0.5000
```

Properties
ΔE_f, eV/atom: -0.0267


6.
A geometry-optimized MgZnHg structure. Source: Alexandria, functional GGA-PBE.

```
data_MgZnHg
_symmetry_space_group_name_H-M 'P 1'
_symmetry_Int_Tables_number 1
_cell_length_a 3.2880
_cell_length_b 3.2880
_cell_length_c 6.6327
_cell_angle_alpha 90.00
_cell_angle_beta 90.00
_cell_angle_gamma 120.00
loop_
_symmetry_equiv_pos_as_xyz
'x,y,z'
loop_
_atom_site_label
_atom_site_type_symbol
_atom_site_fract_x
_atom_site_fract_y
_atom_site_fract_z
Mg1 Mg 0.3333 0.6667 0.3416
Zn1 Zn 0.6667 0.3333 0.6640
Hg1 Hg 0.0000 0.0000 0.9944
```

Properties
ΔE_f, eV/atom: -0.0144


7.
A geometry-optimized MgZnHg2 structure. Source: Alexandria, functional GGA-PBE.

```
data_MgZnHg2
_symmetry_space_group_name_H-M 'P 1'
_symmetry_Int_Tables_number 1
_cell_length_a 5.0980
_cell_length_b 5.0980
_cell_length_c 4.9685
_cell_angle_alpha 79.44
_cell_angle_beta 79.44
_cell_angle_gamma 41.82
loop_
_symmetry_equiv_pos_as_xyz
'x,y,z'
loop_
_atom_site_label
_atom_site_type_symbol
_atom_site_fract_x
_atom_site_fract_y
_atom_site_fract_z
Hg1 Hg 0.7562 0.7562 0.7165
Hg2 Hg 0.9948 0.9948 0.0337
Mg1 Mg 0.5003 0.5003 0.5100
Zn1 Zn 0.2487 0.2487 0.2398
```

Properties
ΔE_f, eV/atom: -0.0479


8.
A geometry-optimized Mg3ZnHg3 structure. Source: Alexandria, functional GGA-PBE.

```
data_Mg3ZnHg3
_symmetry_space_group_name_H-M 'P 1'
_symmetry_Int_Tables_number 1
_cell_length_a 5.3632
_cell_length_b 8.0225
_cell_length_c 8.0225
_cell_angle_alpha 120.00
_cell_angle_beta 90.00
_cell_angle_gamma 90.00
loop_
_symmetry_equiv_pos_as_xyz
'x,y,z'
loop_
_atom_site_label
_atom_site_type_symbol
_atom_site_fract_x
_atom_site_fract_y
_atom_site_fract_z
Mg1 Mg 0.2500 0.3669 0.4623
Mg2 Mg 0.7500 0.9045 0.3669
Mg3 Mg 0.2500 0.5377 0.9045
Mg4 Mg 0.7500 0.6331 0.5377
Mg5 Mg 0.2500 0.0955 0.6331
Mg6 Mg 0.7500 0.4623 0.0955
Hg1 Hg 0.2500 0.9469 0.2117
Hg2 Hg 0.2500 0.2648 0.0531
Hg3 Hg 0.2500 0.7883 0.7352
Hg4 Hg 0.7500 0.0531 0.7883
Hg5 Hg 0.7500 0.2117 0.2648
Hg6 Hg 0.7500 0.7352 0.9469
Zn1 Zn 0.2500 0.6667 0.3333
Zn2 Zn 0.7500 0.3333 0.6667
```

Properties
ΔE_f, eV/atom: -0.0858


9.
A geometry-optimized Mg2Zn2Hg structure. Source: Alexandria, functional GGA-PBE.

```
data_Mg2Zn2Hg
_symmetry_space_group_name_H-M 'P 1'
_symmetry_Int_Tables_number 1
_cell_length_a 3.5963
_cell_length_b 3.5963
_cell_length_c 8.3390
_cell_angle_alpha 77.55
_cell_angle_beta 77.55
_cell_angle_gamma 90.00
loop_
_symmetry_equiv_pos_as_xyz
'x,y,z'
loop_
_atom_site_label
_atom_site_type_symbol
_atom_site_fract_x
_atom_site_fract_y
_atom_site_fract_z
Mg1 Mg 0.6033 0.6033 0.7933
Mg2 Mg 0.3967 0.3967 0.2067
Zn1 Zn 0.2500 0.7500 0.5000
Zn2 Zn 0.7500 0.2500 0.5000
Hg1 Hg 0.0000 0.0000 0.0000
```

Properties
ΔE_f, eV/atom: -0.0359


10.
A geometry-optimized MgZnHg2 structure. Source: Alexandria, functional GGA-PBE.

```
data_MgZnHg2
_symmetry_space_group_name_H-M 'P 1'
_symmetry_Int_Tables_number 1
_cell_length_a 3.9135
_cell_length_b 3.4002
_cell_length_c 7.0151
_cell_angle_alpha 63.14
_cell_angle_beta 90.00
_cell_angle_gamma 90.00
loop_
_symmetry_equiv_pos_as_xyz
'x,y,z'
loop_
_atom_site_label
_atom_site_type_symbol
_atom_site_fract_x
_atom_site_fract_y
_atom_site_fract_z
Zn1 Zn 0.5000 0.7500 0.7500
Hg1 Hg 0.0000 0.5312 0.5022
Hg2 Hg 0.0000 0.9688 0.9978
Mg1 Mg 0.5000 0.2500 0.2500
```

Properties
ΔE_f, eV/atom: -0.0404


11.
A geometry-optimized Mg2ZnHg3 structure. Source: Alexandria, functional GGA-PBE.

```
data_Mg2ZnHg3
_symmetry_space_group_name_H-M 'P 1'
_symmetry_Int_Tables_number 1
_cell_length_a 4.8378
_cell_length_b 7.4355
_cell_length_c 7.3445
_cell_angle_alpha 90.00
_cell_angle_beta 90.00
_cell_angle_gamma 71.37
loop_
_symmetry_equiv_pos_as_xyz
'x,y,z'
loop_
_atom_site_label
_atom_site_type_symbol
_atom_site_fract_x
_atom_site_fract_y
_atom_site_fract_z
Zn1 Zn 0.3391 0.3222 0.0000
Zn2 Zn 0.6609 0.6778 0.0000
Mg1 Mg 0.0000 0.0000 0.0000
Mg2 Mg 0.3325 0.3356 0.5000
Mg3 Mg 0.0000 0.0000 0.5000
Mg4 Mg 0.6675 0.6644 0.5000
Hg1 Hg 0.5001 0.0000 0.7477
Hg2 Hg 0.1700 0.6610 0.7566
Hg3 Hg 0.8303 0.3390 0.7566
Hg4 Hg 0.8300 0.3390 0.2434
Hg5 Hg 0.4999 0.0000 0.2523
Hg6 Hg 0.1697 0.6610 0.2434
```

Properties
ΔE_f, eV/atom: -0.1064


12.
A geometry-optimized Mg3Zn2Hg structure. Source: Alexandria, functional GGA-PBE.

```
data_Mg3Zn2Hg
_symmetry_space_group_name_H-M 'P 1'
_symmetry_Int_Tables_number 1
_cell_length_a 3.4426
_cell_length_b 3.4426
_cell_length_c 9.6922
_cell_angle_alpha 90.00
_cell_angle_beta 90.00
_cell_angle_gamma 90.00
loop_
_symmetry_equiv_pos_as_xyz
'x,y,z'
loop_
_atom_site_label
_atom_site_type_symbol
_atom_site_fract_x
_atom_site_fract_y
_atom_site_fract_z
Mg1 Mg 0.0000 0.0000 0.0000
Mg2 Mg 0.0000 0.0000 0.6798
Mg3 Mg 0.0000 0.0000 0.3202
Zn1 Zn 0.5000 0.5000 0.1540
Zn2 Zn 0.5000 0.5000 0.8460
Hg1 Hg 0.5000 0.5000 0.5000
```

Properties
ΔE_f, eV/atom: -0.1158


13.
A geometry-optimized Mg6ZnHg5 structure. Source: Alexandria, functional GGA-PBE.

```
data_Mg6ZnHg5
_symmetry_space_group_name_H-M 'P 1'
_symmetry_Int_Tables_number 1
_cell_length_a 4.7891
_cell_length_b 7.3571
_cell_length_c 7.4769
_cell_angle_alpha 90.00
_cell_angle_beta 108.20
_cell_angle_gamma 90.00
loop_
_symmetry_equiv_pos_as_xyz
'x,y,z'
loop_
_atom_site_label
_atom_site_type_symbol
_atom_site_fract_x
_atom_site_fract_y
_atom_site_fract_z
Mg1 Mg 0.5000 0.7493 0.0000
Mg2 Mg 0.5000 0.2507 0.0000
Mg3 Mg 0.1630 0.7573 0.3304
Mg4 Mg 0.8370 0.2427 0.6696
Mg5 Mg 0.8370 0.7573 0.6696
Mg6 Mg 0.1630 0.2427 0.3304
Hg1 Hg 0.3329 0.5000 0.6635
Hg2 Hg 0.6671 0.5000 0.3365
Hg3 Hg 0.0000 0.5000 0.0000
Hg4 Hg 0.6579 0.0000 0.3198
Hg5 Hg 0.3421 0.0000 0.6802
Zn1 Zn 0.0000 0.0000 0.0000
```

Properties
ΔE_f, eV/atom: -0.1956